1.
PBE Ac4OsSeS2, relaxed; E_form (uncorrected) = -1.40 eV/atom
1.0
7.603 0.000 0.000
0.000 4.329 0.000
-2.358 0.000 7.365
Ac Os Se S
4 1 1 2
Cartesian
1.269 0.000 1.705
0.042 2.165 5.664
5.203 2.165 1.701
3.976 0.000 5.660
0.000 2.165 0.000
-1.179 0.000 3.682
3.802 0.000 0.000
2.623 2.165 3.682


2.
PBE Ac3SbOs, relaxed; E_form (uncorrected) = -0.29 eV/atom
1.0
5.739 0.000 0.000
0.000 5.739 0.000
0.000 0.000 5.739
Ac Sb Os
3 1 1
Cartesian
0.000 0.000 2.869
0.000 2.869 0.000
2.869 0.000 0.000
2.869 2.869 2.869
0.000 0.000 0.000


3.
PBE Ac2SbOs, relaxed; E_form (uncorrected) = -0.13 eV/atom
1.0
5.314 0.000 0.000
0.000 5.314 0.000
0.000 0.000 4.144
Ac Sb Os
2 1 1
Cartesian
0.000 2.657 0.000
2.657 0.000 0.000
0.000 0.000 2.072
2.657 2.657 2.072


4.
PBE Ac12Sb3Os5, relaxed; E_form (uncorrected) = -0.11 eV/atom
1.0
-9.200 9.200 9.200
9.200 -9.200 9.200
9.200 9.200 -9.200
Ac Sb Os
48 12 20
Cartesian
2.740 -0.548 0.999
11.060 5.599 -5.148
11.940 0.548 0.999
11.060 -3.601 5.148
8.652 -0.999 2.740
14.348 -1.860 3.601
0.999 2.740 -0.548
12.801 4.052 -1.860
5.599 5.148 -1.860
8.201 2.740 0.548
-0.548 0.999 2.740
5.148 -1.860 5.599
8.652 8.201 -2.740
5.148 1.860 3.601
5.599 -5.148 11.060
8.201 -2.740 8.652
3.601 5.148 1.860
10.199 6.460 0.548
5.148 11.060 -3.601
8.652 0.999 6.460
2.740 8.652 -0.999
11.060 3.601 4.052
1.860 3.601 5.148
2.740 0.548 8.201
6.460 8.652 0.999
7.340 5.599 4.052
-1.860 5.599 5.148
6.460 0.548 10.199
0.548 8.201 2.740
4.052 -1.860 12.801
-0.999 2.740 8.652
5.599 4.052 7.340
0.999 11.940 0.548
3.601 14.348 -1.860
4.052 7.340 5.599
0.548 0.999 11.940
4.052 11.060 3.601
9.748 8.201 6.460
0.999 6.460 8.652
3.601 4.052 11.060
-3.601 5.148 11.060
8.201 6.460 9.748
-5.148 11.060 5.599
0.548 10.199 6.460
-1.860 12.801 4.052
-2.740 8.652 8.201
-1.860 3.601 14.348
6.460 9.748 8.201
4.600 2.300 0.000
9.200 4.600 -2.300
2.300 0.000 4.600
11.500 0.000 4.600
0.000 4.600 2.300
4.600 -2.300 9.200
4.600 11.500 0.000
9.200 4.600 6.900
-2.300 9.200 4.600
6.900 9.200 4.600
0.000 4.600 11.500
4.600 6.900 9.200
0.000 0.000 0.000
4.600 4.600 -4.600
4.600 -4.600 4.600
9.200 0.000 0.000
13.800 2.300 0.000
9.200 -4.600 6.900
6.900 9.200 -4.600
6.900 0.000 4.600
4.600 6.900 0.000
9.200 4.600 2.300
-4.600 4.600 4.600
0.000 9.200 0.000
0.000 0.000 9.200
4.600 4.600 4.600
0.000 4.600 6.900
4.600 2.300 9.200
2.300 9.200 4.600
2.300 0.000 13.800
0.000 13.800 2.300
-4.600 6.900 9.200


5.
PBE Ac4SbOs, relaxed; E_form (uncorrected) = -0.38 eV/atom
1.0
4.672 -7.171 0.000
4.672 7.171 0.000
-2.146 0.000 6.432
Ac Sb Os
8 2 2
Cartesian
1.620 4.752 6.115
1.348 1.053 3.920
4.506 4.752 3.533
2.420 -1.053 0.704
4.778 1.053 5.728
2.692 -4.752 2.899
5.851 -1.053 2.512
5.579 -4.752 0.317
4.136 1.760 1.608
3.063 -1.760 4.824
4.136 -7.167 1.608
3.063 7.167 4.824


6.
PBE AcSc3Os, relaxed; formation energy from the elements = -0.114 eV/atom
1.0
5.171 0.000 0.000
0.000 5.171 0.000
0.000 0.000 5.171
Ac Sc Os
1 3 1
Cartesian
0.000 0.000 0.000
0.000 2.585 2.585
2.585 0.000 2.585
2.585 2.585 0.000
2.585 2.585 2.585


7.
PBE AcScSi2Os, relaxed; E_form (uncorrected) = -0.59 eV/atom
1.0
-2.116 2.116 5.703
2.116 -2.116 5.703
2.116 2.116 -5.703
Ac Sc Si Os
1 1 2 1
Cartesian
0.000 0.000 0.000
2.116 0.000 2.851
0.000 0.000 4.397
0.000 0.000 7.008
0.000 2.116 2.851


8.
PBE AcScZnOs, relaxed; formation energy from the elements = -0.003 eV/atom
1.0
0.000 3.546 3.546
3.546 0.000 3.546
3.546 3.546 0.000
Ac Sc Zn Os
1 1 1 1
Cartesian
0.000 0.000 0.000
3.546 3.546 3.546
1.773 1.773 1.773
5.318 5.318 5.318


9.
PBE Ac4OsSe3, relaxed; E_form (uncorrected) = -1.39 eV/atom
1.0
7.992 0.000 0.000
0.000 9.010 0.000
-2.602 0.000 7.186
Ac Os Se
8 2 6
Cartesian
-0.818 1.002 7.185
0.483 8.008 3.591
0.643 3.186 3.445
-0.658 5.825 7.038
6.048 3.186 0.148
4.747 5.825 3.742
4.907 1.002 3.595
6.208 8.008 0.002
-0.651 1.157 1.797
-1.952 7.854 5.390
-1.952 3.449 5.390
-0.651 5.561 1.797
2.044 1.147 5.390
3.345 3.446 1.797
2.044 5.564 5.390
3.345 7.864 1.797


10.
PBE Ac4TeOsSe2, relaxed; E_form (uncorrected) = -1.24 eV/atom
1.0
7.868 0.000 0.000
0.000 4.444 0.000
-2.453 0.000 7.686
Ac Te Os Se
4 1 1 2
Cartesian
1.285 0.000 1.705
-0.042 2.222 6.003
5.457 2.222 1.683
4.130 0.000 5.981
-1.227 0.000 3.843
0.000 2.222 0.000
3.934 0.000 0.000
2.707 2.222 3.843


11.
PBE AcSiOs, relaxed; E_form (uncorrected) = -0.56 eV/atom; energy above the lowest structure with this stoichiometry = 0.00 eV/f.u.
1.0
4.291 0.000 0.000
0.000 4.291 0.000
0.000 0.000 7.633
Ac Si Os
2 2 2
Cartesian
1.073 1.073 1.420
3.218 3.218 6.213
1.073 1.073 4.997
3.218 3.218 2.636
1.073 3.218 3.817
3.218 1.073 3.817


12.
PBE AcSi2Os, relaxed; E_form (uncorrected) = -0.56 eV/atom; energy above the lowest structure with this stoichiometry = 0.08 eV/f.u.
1.0
7.273 0.000 0.000
0.000 4.306 0.000
0.000 0.000 10.507
Ac Si Os
4 8 4
Cartesian
1.110 1.077 1.261
2.527 3.230 6.514
4.747 1.077 3.992
6.163 3.230 9.246
1.193 1.077 8.521
1.199 1.077 4.380
2.438 3.230 9.633
2.444 3.230 3.268
4.830 1.077 7.239
4.835 1.077 0.874
6.075 3.230 6.127
6.081 3.230 1.986
0.047 3.230 4.071
3.589 1.077 9.325
3.684 3.230 1.182
7.226 1.077 6.435


no.,E_tot (Ry per atom),calculated density (kg/m3)
1,-0.465,8503
2,-0.428,8724
3,-0.442,10868
4,-0.441,8616
5,-0.417,9400
6,-0.513,6632
7,-0.522,8429
8,-0.422,9828
9,-0.452,8569
10,-0.438,8550
11,-0.550,10522
12,-0.522,9555